Cu3Te2Se | PBE | optimized geometry

abc: 12.0006 5.3730 7.6297
angles: 90.00 108.38 90.00
Space group C2/c (No. 15)
Unique sites:
Cu: 0.0000 0.0024 0.2500 x4
Cu: 0.1531 0.4992 0.0769 x8
Te: 0.1678 0.0007 0.5833 x8
Se: 0.0000 0.4988 0.7500 x4

Summary:
* distance to the lowest polymorph of the same formula: 0.075 eV per atom
* volume: 466.9 Å³ per cell
* E_form (uncorrected): 0.204 kcal/mol of atoms
* total magnetization: 0.0 μB per cell